VASP calculation (GGA-PBE) on crystalline Sc2InAs at its relaxed geometry.

```
data_Sc2InAs
_space_group_name_H-M_alt 'P 1'
_space_group_IT_number 1
_space_group_name_Hall 'P 1'
_cell_length_a 6.281
_cell_length_b 7.854
_cell_length_c 3.458
_cell_angle_alpha 90.00
_cell_angle_beta 95.82
_cell_angle_gamma 90.00
loop_
_atom_site_label
_atom_site_type_symbol
_atom_site_fract_x
_atom_site_fract_y
_atom_site_fract_z
Sc1 Sc 0.250 0.250 0.000
Sc2 Sc 0.250 0.750 0.000
Sc3 Sc 0.750 0.250 0.000
Sc4 Sc 0.750 0.750 0.000
In1 In 0.000 0.000 0.500
In2 In 0.500 0.500 0.500
As1 As 0.000 0.500 0.500
As2 As 0.500 0.000 0.500
```

## Properties
Theoretical density ... 5.47 g cm⁻³
Energy ... -5.571 eV per atom